NaTlBP2, relaxed, DFT PBE; VASP energy = -13.2 eV per formula unit; space-group type = P4/mmm (123)
1.0
-1.029 4.868 0.319
-3.931 -0.660 -2.608
-2.621 -0.826 4.160
P Tl B Na
2 1 1 1
Direct
0.000 0.000 0.500 P
0.500 0.000 0.000 P
0.500 0.500 0.500 Tl
0.000 0.500 0.000 B
0.000 0.000 0.000 Na

CrCu2Te, relaxed, DFT PBE; formation energy from raw total energies = 290 meV/atom; space-group type = P4mm (99)
1.0
3.435 0.000 0.000
0.000 3.435 0.000
0.000 0.000 5.637
Cr Cu Te
1 2 1
Direct
0.500 0.500 0.753 Cr
0.000 0.000 0.025 Cu
0.500 0.500 0.195 Cu
0.000 0.000 0.527 Te

NdThGaOs, relaxed, DFT PBE; space-group type = F-43m (216); polymorph energy (0 for the lowest one) = 237.4 meV/atom
1.0
-1.420 4.198 -2.554
-4.004 2.744 1.614
0.733 4.622 2.067
Nd Os Ga Th
1 1 1 1
Direct
0.500 0.500 0.500 Nd
0.750 0.750 0.750 Os
0.250 0.250 0.250 Ga
0.000 0.000 0.000 Th

CrTcHg2, relaxed, DFT PBE; space-group type = R-3m (166); polymorph energy (0 for the lowest one) = 366.7 meV/atom
1.0
9.387 -0.071 -0.042
8.924 2.912 -0.042
8.924 1.385 2.562
Cr Hg Tc
1 2 1
Direct
0.750 0.750 0.750 Cr
0.001 0.001 0.001 Hg
0.499 0.499 0.499 Hg
0.250 0.250 0.250 Tc

Ca2CdW, relaxed, DFT PBE; VASP energy = -15.4 eV per formula unit; space-group type = Imm2 (44)
1.0
-0.608 1.777 6.312
1.936 -3.884 4.954
1.190 3.619 -5.372
Ca W Cd
2 1 1
Direct
0.027 0.027 0.000 Ca
0.729 0.229 0.500 Ca
0.270 0.770 0.500 W
0.474 0.474 0.000 Cd

TaCoSi2, relaxed, DFT PBE; formation energy from raw total energies = -235 meV/atom; space-group type = Pmm2 (25)
1.0
-2.145 -0.058 3.525
-1.893 -1.696 -1.180
2.490 -3.789 1.453
Co Si Ta
1 2 1
Direct
0.500 0.000 0.754 Co
0.000 0.000 0.988 Si
0.500 0.000 0.259 Si
0.000 0.500 0.500 Ta

LiCrPt2, relaxed, DFT PBE; VASP energy = -24.2 eV per formula unit; space-group type = P4mm (99)
1.0
-0.535 1.560 -2.832
-2.931 -1.446 -0.243
-2.252 4.112 2.689
Cr Li Pt
1 1 2
Direct
0.000 0.000 0.487 Cr
0.500 0.500 0.768 Li
0.000 0.000 0.966 Pt
0.500 0.500 0.279 Pt

FeIr4Au, relaxed, DFT PBE; VASP energy = -43.9 eV per formula unit; space-group type = F-43m (216)
1.0
0.000 3.662 3.662
3.662 0.000 3.662
3.662 3.662 0.000
Fe Ir Au
1 4 1
Direct
0.000 0.000 0.000 Fe
0.876 0.375 0.375 Ir
0.375 0.375 0.876 Ir
0.375 0.876 0.375 Ir
0.375 0.375 0.375 Ir
0.750 0.750 0.750 Au